Density functional theory data (GGA-PBE) for BaSnTe4Pb2 after structural relaxation.

Results
Crystal system: orthorhombic
SG: Imma
Mass density, kg/m³: 6617
Formation energy from raw total energies, eV/atom: -0.688
Volume, Å³ per atom: 37.0

Unit cell a=9.429 b=9.429 c=9.429 alpha=120.07 beta=119.96 gamma=89.97
Fractional coordinates of all 16 atoms:
Ba 0.500 0.000 0.000
Ba 0.500 0.500 0.500
Sn 0.000 0.000 0.000
Sn 0.500 0.000 0.500
Te 0.234 0.247 0.987
Te 0.240 0.753 0.487
Te 0.243 0.238 0.495
Te 0.243 0.749 0.005
Te 0.757 0.251 0.995
Te 0.757 0.762 0.505
Te 0.760 0.247 0.513
Te 0.766 0.753 0.013
Pb 0.000 0.000 0.500
Pb 0.000 0.500 0.000
Pb 0.000 0.500 0.500
Pb 0.500 0.500 0.000